1.
The following is a DFT calculation (PBE) of a geometry-optimized BaSr2Sb structure.

The structure in CIF format:
```
data_BaSr2Sb
_chemical_formula_sum 'Ba2 Sr4 Sb2'
_space_group_name_H-M_alt 'I 4/m m m'
_space_group_IT_number 139
_space_group_name_Hall '-I 4 2'
_cell_length_a 5.266
_cell_length_b 5.266
_cell_length_c 11.960
_cell_angle_alpha 90.00
_cell_angle_beta 90.00
_cell_angle_gamma 90.00
loop_
_atom_site_label
_atom_site_type_symbol
_atom_site_fract_x
_atom_site_fract_y
_atom_site_fract_z
_atom_site_occupancy
Ba1 Ba 0.000 0.000 0.000 1
Sr1 Sr 0.000 0.500 0.250 1
Sb1 Sb 0.000 0.000 0.500 1
```

Formation energy (no corrections) in eV/atom: -0.394
VASP energy in eV per atom: -2.75
Magnetic moment in μB per cell: 0.00
V in Å³/cell: 331.69

---

2.
The following is a DFT calculation (PBE) of a geometry-optimized Er2Th2Sc3 structure.

The structure in CIF format:
```
data_Er2Th2Sc3
_chemical_formula_sum 'Er4 Th4 Sc6'
_space_group_name_H-M_alt 'C 1 2/m 1'
_space_group_IT_number 12
_space_group_name_Hall '-C 2y'
_cell_length_a 10.803
_cell_length_b 4.862
_cell_length_c 7.664
_cell_angle_alpha 90.00
_cell_angle_beta 98.38
_cell_angle_gamma 90.00
loop_
_atom_site_label
_atom_site_type_symbol
_atom_site_fract_x
_atom_site_fract_y
_atom_site_fract_z
_atom_site_occupancy
Er1 Er 0.073 0.000 0.214 1
Th1 Th 0.215 0.000 0.645 1
Sc1 Sc 0.000 0.500 0.500 1
Sc2 Sc 0.146 0.500 0.927 1
```

Formation energy in eV/atom: 0.044
VASP energy in eV per atom: -6.09
Magnetic moment in μB per cell: 0.00
V in Å³/cell: 398.27
Energy above the lowest structure with this stoichiometry in eV per formula unit: 0.00

---

3.
The following is a DFT calculation (PBE) of a geometry-optimized TbPr2Hg3 structure.

The structure in CIF format:
```
data_TbPr2Hg3
_chemical_formula_sum 'Tb1 Pr2 Hg3'
_space_group_name_H-M_alt 'P 4/m m m'
_space_group_IT_number 123
_space_group_name_Hall '-P 4 2'
_cell_length_a 3.810
_cell_length_b 3.810
_cell_length_c 11.548
_cell_angle_alpha 90.00
_cell_angle_beta 90.00
_cell_angle_gamma 90.00
loop_
_atom_site_label
_atom_site_type_symbol
_atom_site_fract_x
_atom_site_fract_y
_atom_site_fract_z
_atom_site_occupancy
Tb1 Tb 0.000 0.000 0.000 1
Pr1 Pr 0.000 0.000 0.329 1
Hg1 Hg 0.500 0.500 0.153 1
Hg2 Hg 0.500 0.500 0.500 1
```

Formation energy in eV/atom: -0.473
VASP energy in eV per atom: -2.99
Magnetic moment in μB per cell: 1.18
V in Å³/cell: 167.62

---

4.
The following is a DFT calculation (PBE) of a geometry-optimized TcSI2N structure.

The structure in CIF format:
```
data_TcSI2N
_chemical_formula_sum 'Tc1 S1 I2 N1'
_space_group_name_H-M_alt 'P 4/m m m'
_space_group_IT_number 123
_space_group_name_Hall '-P 4 2'
_cell_length_a 5.495
_cell_length_b 5.495
_cell_length_c 3.748
_cell_angle_alpha 90.00
_cell_angle_beta 90.00
_cell_angle_gamma 90.00
loop_
_atom_site_label
_atom_site_type_symbol
_atom_site_fract_x
_atom_site_fract_y
_atom_site_fract_z
_atom_site_occupancy
Tc1 Tc 0.000 0.000 0.000 1
S1 S 0.500 0.500 0.500 1
I1 I 0.000 0.500 0.000 1
N1 N 0.000 0.000 0.500 1
```

Formation energy (no corrections) in eV/atom: 0.667
VASP energy in eV per atom: -4.52
Magnetic moment in μB per cell: 0.35
V in Å³/cell: 113.20
Energy above the lowest structure with this stoichiometry in eV per formula unit: 0.00

---

5.
The following is a DFT calculation (PBE) of a geometry-optimized CaCrOsSe2 structure.

The structure in CIF format:
```
data_CaCrOsSe2
_chemical_formula_sum 'Ca1 Cr1 Os1 Se2'
_space_group_name_H-M_alt 'P 4/m m m'
_space_group_IT_number 123
_space_group_name_Hall '-P 4 2'
_cell_length_a 4.655
_cell_length_b 4.655
_cell_length_c 5.647
_cell_angle_alpha 90.00
_cell_angle_beta 90.00
_cell_angle_gamma 90.00
loop_
_atom_site_label
_atom_site_type_symbol
_atom_site_fract_x
_atom_site_fract_y
_atom_site_fract_z
_atom_site_occupancy
Ca1 Ca 0.000 0.000 0.000 1
Cr1 Cr 0.000 0.000 0.500 1
Os1 Os 0.500 0.500 0.000 1
Se1 Se 0.000 0.500 0.500 1
```

Formation energy (no corrections) in eV/atom: 1.006
VASP energy in eV per atom: -4.96
Magnetic moment in μB per cell: 5.20
V in Å³/cell: 122.39

---

6.
The following is a DFT calculation (PBE) of a geometry-optimized Pm3Se4 structure.

The structure in CIF format:
```
data_Pm3Se4
_chemical_formula_sum 'Pm9 Se12'
_space_group_name_H-M_alt 'R -3 m'
_space_group_IT_number 166
_space_group_name_Hall '-R 3 2"'
_cell_length_a 4.2438
_cell_length_b 4.2438
_cell_length_c 41.2245
_cell_angle_alpha 90.00
_cell_angle_beta 90.00
_cell_angle_gamma 120.00
loop_
_atom_site_label
_atom_site_type_symbol
_atom_site_fract_x
_atom_site_fract_y
_atom_site_fract_z
_atom_site_occupancy
Pm1 Pm 0.0000 0.0000 0.0000 1
Pm2 Pm 0.0000 0.0000 0.2452 1
Se1 Se 0.0000 0.0000 0.1226 1
Se2 Se 0.0000 0.0000 0.3752 1
```

Formation energy (no corrections) in eV/atom: -1.802
VASP energy in eV per atom: -5.83
Magnetic moment in μB per cell: 0.00
V in Å³/cell: 642.97

---

7.
The following is a DFT calculation (PBE) of a geometry-optimized ReTcHg structure.

The structure in CIF format:
```
data_ReTcHg
_chemical_formula_sum 'Re2 Tc2 Hg2'
_space_group_name_H-M_alt 'I 4 m m'
_space_group_IT_number 107
_space_group_name_Hall 'I 4 -2'
_cell_length_a 2.965
_cell_length_b 2.965
_cell_length_c 11.735
_cell_angle_alpha 90.00
_cell_angle_beta 90.00
_cell_angle_gamma 90.00
loop_
_atom_site_label
_atom_site_type_symbol
_atom_site_fract_x
_atom_site_fract_y
_atom_site_fract_z
_atom_site_occupancy
Re1 Re 0.000 0.000 0.000 1
Tc1 Tc 0.000 0.000 0.377 1
Hg1 Hg 0.000 0.000 0.689 1
```

Formation energy in eV/atom: 0.371
VASP energy in eV per atom: -7.33
Magnetic moment in μB per cell: 0.00
V in Å³/cell: 103.17
Energy above the lowest structure with this stoichiometry in eV per formula unit: 0.09

---

8.
The following is a DFT calculation (PBE) of a geometry-optimized CsSrLiCd2 structure.

The structure in CIF format:
```
data_CsSrLiCd2
_chemical_formula_sum 'Cs1 Sr1 Li1 Cd2'
_space_group_name_H-M_alt 'P 4/m m m'
_space_group_IT_number 123
_space_group_name_Hall '-P 4 2'
_cell_length_a 6.506
_cell_length_b 6.506
_cell_length_c 7.811
_cell_angle_alpha 90.00
_cell_angle_beta 90.00
_cell_angle_gamma 90.00
loop_
_atom_site_label
_atom_site_type_symbol
_atom_site_fract_x
_atom_site_fract_y
_atom_site_fract_z
_atom_site_occupancy
Cs1 Cs 0.000 0.000 0.000 1
Sr1 Sr 0.000 0.000 0.500 1
Li1 Li 0.500 0.500 0.000 1
Cd1 Cd 0.000 0.500 0.500 1
```

Formation energy in eV/atom: 0.504
VASP energy in eV per atom: -0.75
Magnetic moment in μB per cell: 0.00
V in Å³/cell: 330.67